Record 1
Below is a relaxed structure of Ce2PuNpSb4, with properties calculated at the PBE-GGA level.

POSCAR file:
```
Ce2PuNpSb4
1.0
-0.908 4.362 -0.345
-1.658 0.253 7.563
7.460 1.469 -1.052
Ce Pu Np Sb
2 1 1 4
Cartesian
3.276 2.916 -0.698
2.901 0.861 3.256
0.000 0.000 0.000
-1.283 2.307 3.609
0.964 2.605 1.457
3.930 3.479 4.709
5.213 1.173 1.117
0.589 0.549 5.394
```

Summary:
Symmetry: P2/m, No. 10
Uncorrected formation energy in eV per formula unit: -5.807

=====

Record 2
Below is a relaxed structure of V4Tc3Os2, with properties calculated at the PBE-GGA level.

POSCAR file:
```
V4Tc3Os2
1.0
-2.499 -3.063 -1.659
-1.500 -3.136 2.509
-6.379 4.335 1.605
V Tc Os
4 3 2
Cartesian
-3.369 -3.655 0.744
-4.221 2.868 1.062
-6.156 -4.733 1.393
-7.008 1.789 1.711
-4.966 0.402 1.198
0.000 0.000 0.000
-5.411 -2.267 1.257
-2.720 -1.123 0.632
-7.657 -0.742 1.823
```

Summary:
Symmetry: P-3m1, No. 164
ΔE_f in eV per atom: -0.26

=====

Record 3
Below is a relaxed structure of Tl2InHg5Au, with properties calculated at the PBE-GGA level.

POSCAR file:
```
Tl2InHg5Au
1.0
-6.637 -0.250 2.176
3.352 -5.893 1.701
3.377 5.299 3.061
Tl In Hg Au
2 1 5 1
Cartesian
0.212 2.362 3.922
0.199 -3.234 3.242
4.197 -0.370 2.970
-1.433 -0.284 2.363
1.875 -0.591 4.823
3.533 -3.159 2.159
3.546 2.534 2.851
1.880 -0.166 1.331
6.360 -0.561 4.501
```

Summary:
Symmetry: I4mm, No. 107
ΔE_f in eV per atom: 0.01

=====

Record 4
Below is a relaxed structure of CdTc2Cl, with properties calculated at the PBE-GGA level.

POSCAR file:
```
CdTc2Cl
1.0
-2.932 -0.274 -0.315
-0.230 -0.806 2.841
-0.847 6.886 1.884
Cd Cl Tc
1 1 2
Cartesian
-1.793 1.181 1.734
-2.216 4.624 2.676
-0.813 6.605 1.807
-0.458 3.724 1.019
```

Summary:
Symmetry: P4/mmm, No. 123
Uncorrected formation energy in eV per formula unit: 3.408
Energy relative to the lowest polymorph listed for this composition in eV/f.u.: 3.458

=====

Record 5
Below is a relaxed structure of TbGaAgSn, with properties calculated at the PBE-GGA level.

POSCAR file:
```
TbGaAgSn
1.0
5.020 0.000 0.000
2.510 4.348 0.000
2.510 1.449 4.099
Ga Tb Sn Ag
1 1 1 1
Cartesian
0.000 0.000 0.000
7.531 4.348 3.074
2.510 1.449 1.025
5.020 2.899 2.050
```

Summary:
Symmetry: F-43m, No. 216
ΔE_f in eV per atom: -0.28

=====

Record 6
Below is a relaxed structure of SrSb2Pb, with properties calculated at the PBE-GGA level.

POSCAR file:
```
SrSb2Pb
1.0
5.962 0.016 -0.039
3.769 4.620 -0.039
2.210 1.053 4.479
Pb Sb Sr
1 2 1
Cartesian
2.985 1.422 1.100
9.730 4.635 -0.078
5.971 2.844 2.200
8.955 4.266 3.300
```

Summary:
Symmetry: I4/mmm, No. 139
Uncorrected formation energy in eV per formula unit: -1.624

=====

Record 7
Below is a relaxed structure of BaCoCl, with properties calculated at the PBE-GGA level.

POSCAR file:
```
BaCoCl
1.0
3.983 0.001 0.001
-0.003 4.110 0.000
-1.993 -2.055 9.971
Co Ba Cl
2 2 2
Cartesian
2.739 -0.363 2.046
0.744 2.623 2.046
-1.242 -1.520 9.492
0.748 0.536 4.571
2.738 2.601 5.864
0.748 0.544 8.199
```

Summary:
Symmetry: Imm2, No. 44
Uncorrected formation energy in eV per formula unit: -2.408
Energy relative to the lowest polymorph listed for this composition in eV/f.u.: 0.229

=====

Record 8
Below is a relaxed structure of ReHgBr2, with properties calculated at the PBE-GGA level.

POSCAR file:
```
ReHgBr2
1.0
-2.767 4.341 0.724
-4.272 -0.104 2.961
-0.001 2.338 4.644
Re Hg Br
1 1 2
Cartesian
-5.280 4.932 6.246
-3.520 3.288 4.164
0.000 0.000 0.000
-1.760 1.644 2.082
```

Summary:
Symmetry: F-43m, No. 216
Uncorrected formation energy in eV per formula unit: 5.006
Energy relative to the lowest polymorph listed for this composition in eV/f.u.: 3.844